Compound: Sr2MgCCl
Source: Alexandria
Functional: PBE
Structure: optimized geometry

The space group is P4/mmm (No. 123) and the conventional cell measures 6.339, 6.339 and 4.992 Å, with angles of 90.00, 90.00 and 90.00 degrees. Symmetry generates all atoms from Sr at (0.000, 0.500, 0.000), Mg at (0.000, 0.000, 0.000), C at (0.500, 0.500, 0.500) and Cl at (0.000, 0.000, 0.500).

The value obtained for the uncorrected formation energy is 94.5 kJ per mole of atoms. The calculated total energy comes out at -11.13 eV for the cell shown. The calculation puts the magnetic moment at 0.470 μB/atom.